Below is a relaxed structure of NdSmGaAg, with properties calculated at the PBE-GGA level.

Lattice parameters (Å, degrees): 5.2523 5.2523 5.2523 60.00 60.00 60.00
With the nearest neighbours (Å) after each atom.
Fractional positions:
Nd 0.0000 0.0000 0.0000  4 Ag 3.22, 4 Ga 3.22
Sm 0.5000 0.5000 0.5000  4 Ag 3.22, 4 Ga 3.22
Ga 0.2500 0.2500 0.2500  4 Nd 3.22, 4 Sm 3.22
Ag 0.7500 0.7500 0.7500  4 Nd 3.22, 4 Sm 3.22

Properties
**Raw total energy**: -0.156 hartree per atom
**Space-group type**: F-43m (216)
**Volume**: 25.61 Å³ per atom
**Energy relative to the elements**: -0.41 eV/atom
**DOS(E_F)**: 4.18 states/eV per cell
**Spin magnetization**: 0.2 Bohr magnetons per cell



Below is a relaxed structure of TeBrCl, with properties calculated at the PBE-GGA level.

Lattice parameters (Å, degrees): 4.1150 7.1163 9.1043 107.13 101.02 101.38
With the nearest neighbours (Å) after each atom.
Fractional positions:
Te 0.0000 0.0000 0.0000  1 Cl 2.48, 1 Br 2.50
Te 0.1742 0.9635 0.3283  1 Cl 2.53, 1 Br 2.74
Br 0.5218 0.6702 0.2743  2 Te 2.74-2.91
Br 0.9184 0.6280 0.8608  1 Te 2.50
Cl 0.8667 0.2422 0.3762  1 Te 2.53
Cl 0.9144 0.0840 0.7519  1 Te 2.48

Properties
**E above lowest polymorph**: 0.33 eV/f.u.
**Raw total energy**: -0.091 hartree per atom
**Space-group type**: P1 (1)
**Volume**: 40.13 Å³ per atom
**DOS(E_F)**: 0.27 states/eV per cell
**Spin magnetization**: 0.0 Bohr magnetons per cell
**Raw formation energy**: -259 meV per atom



Below is a relaxed structure of MnCoTc2, with properties calculated at the PBE-GGA level.

Lattice parameters (Å, degrees): 4.4967 4.4967 4.4967 131.03 131.03 71.77
With the nearest neighbours (Å) after each atom.
Fractional positions:
Mn 0.0000 0.0000 0.0000  8 Tc 2.61, 4 Co 2.64
Co 0.5000 0.5000 0.0000  8 Tc 2.61, 4 Mn 2.64
Tc 0.2500 0.7500 0.5000  4 Co 2.61, 4 Mn 2.61, 4 Tc 2.64
Tc 0.7500 0.2500 0.5000  4 Co 2.61, 4 Mn 2.61, 4 Tc 2.64

Properties
**E above lowest polymorph**: 0.24 eV/f.u.
**Raw total energy**: -0.338 hartree per atom
**Space-group type**: I4/mmm (139)
**Volume**: 12.65 Å³ per atom
**Energy relative to the elements**: 0.06 eV/atom
**DOS(E_F)**: 3.97 states/eV per cell
**Spin magnetization**: 0.4 Bohr magnetons per cell



Below is a relaxed structure of Pr5ErP6, with properties calculated at the PBE-GGA level.

Lattice parameters (Å, degrees): 7.2175 7.2175 7.2177 99.61 99.61 119.99
With the nearest neighbours (Å) after each atom.
Fractional positions:
Pr 0.0000 0.0000 0.0000  6 P 2.95-3.01
Pr 0.1663 0.8337 0.5000  6 P 2.95
Pr 0.3323 0.6677 0.0000  6 P 2.95-3.00
Pr 0.6677 0.3323 0.0000  6 P 2.95-3.00
Pr 0.8337 0.1663 0.5000  6 P 2.95
Er 0.5000 0.5000 0.5000  6 P 2.88-2.89
P 0.0924 0.4184 0.2551  1 Er 2.88, 5 Pr 2.95-3.00
P 0.2561 0.2561 0.7458  1 Er 2.89, 5 Pr 2.95-3.01
P 0.4184 0.0924 0.2551  1 Er 2.88, 5 Pr 2.95-3.00
P 0.5816 0.9076 0.7449  1 Er 2.88, 5 Pr 2.95-3.00
P 0.7439 0.7439 0.2542  1 Er 2.89, 5 Pr 2.95-3.01
P 0.9076 0.5816 0.7449  1 Er 2.88, 5 Pr 2.95-3.00

Properties
**Raw total energy**: -0.242 hartree per atom
**Space-group type**: C2/m (12)
**Volume**: 25.58 Å³ per atom
**Energy relative to the elements**: -1.52 eV/atom
**DOS(E_F)**: 0.91 states/eV per cell
**Spin magnetization**: 0.0 Bohr magnetons per cell



raw total energy of number 1 (NdSmGaAg)? -0.156 hartree per atom